# 1
## BaSr3Fe (GGA-PBE)

Data for crystalline BaSr3Fe at its relaxed geometry.

Unit cell a=6.1644 b=6.1644 c=6.1644 alpha=90.00 beta=90.00 gamma=90.00
With the nearest neighbours (Å) after each atom.
Atoms (fractional coordinates):
Sr (0.0000, 0.0000, 0.5000)  2 Fe 3.08
Sr (0.5000, 0.0000, 0.0000)  2 Fe 3.08
Sr (0.0000, 0.5000, 0.0000)  2 Fe 3.08
Ba (0.5000, 0.5000, 0.5000)  12 Sr 4.36
Fe (0.0000, 0.0000, 0.0000)  6 Sr 3.08

Properties
DOS(E_F) = 0.515 states/eV per atom
Calculated volume = 234.2 Å³/cell
Final energy = -2.776 eV/atom
Space group = No. 221


# 2
## Ba3SrFe (GGA-PBE)

Data for crystalline Ba3SrFe at its relaxed geometry.

Unit cell a=6.1354 b=6.1354 c=6.1354 alpha=90.00 beta=90.00 gamma=90.00
With the nearest neighbours (Å) after each atom.
Atoms (fractional coordinates):
Ba (0.0000, 0.5000, 0.0000)  2 Fe 3.07
Ba (0.0000, 0.0000, 0.5000)  2 Fe 3.07
Ba (0.5000, 0.0000, 0.0000)  2 Fe 3.07
Fe (0.0000, 0.0000, 0.0000)  6 Ba 3.07
Sr (0.5000, 0.5000, 0.5000)  12 Ba 4.34

Properties
DOS(E_F) = 2.352 states/eV per atom
Calculated volume = 231.0 Å³/cell
Final energy = -2.735 eV/atom
Space group = No. 221


# 3
## BaSrFe2 (GGA-PBE)

Data for crystalline BaSrFe2 at its relaxed geometry.

Unit cell a=9.3854 b=9.3854 c=9.3854 alpha=23.83 beta=23.83 gamma=23.83
With the nearest neighbours (Å) after each atom.
Atoms (fractional coordinates):
Fe (0.5001, 0.5001, 0.5001)  3 Sr 3.19, 3 Ba 3.20
Fe (0.9999, 0.9999, 0.9999)  3 Sr 3.19, 3 Ba 3.20
Sr (0.2500, 0.2500, 0.2500)  6 Fe 3.19
Ba (0.7500, 0.7500, 0.7500)  6 Fe 3.20

Properties
DOS(E_F) = 2.297 states/eV per atom
Calculated volume = 118.6 Å³/cell
Final energy = -4.036 eV/atom
Space group = No. 166


# 4
## BaSrFe2 (GGA-PBE)

Data for crystalline BaSrFe2 at its relaxed geometry.

Unit cell a=7.1311 b=7.1311 c=4.8235 alpha=70.23 beta=70.23 gamma=31.88
With the nearest neighbours (Å) after each atom.
Atoms (fractional coordinates):
Fe (0.0708, 0.0708, 0.9290)  2 Fe 2.31
Fe (0.6668, 0.6668, 0.8333)  2 Fe 2.31
Sr (0.4987, 0.4987, 0.5012)  6 Fe 3.24
Ba (0.2636, 0.2636, 0.2365)  6 Fe 3.35-3.46

Properties
DOS(E_F) = 1.094 states/eV per atom
Calculated volume = 121.3 Å³/cell
Final energy = -4.585 eV/atom
Space group = No. 44


# 5
## BaSrFe2 (GGA-PBE)

Data for crystalline BaSrFe2 at its relaxed geometry.

Unit cell a=4.0476 b=4.7414 c=6.6843 alpha=69.21 beta=90.00 gamma=90.00
With the nearest neighbours (Å) after each atom.
Atoms (fractional coordinates):
Ba (0.5000, 0.7661, 0.8427)  6 Fe 3.35-3.37
Fe (0.5000, 0.0745, 0.2256)  2 Fe 2.33
Fe (0.0000, 0.1671, 0.0413)  2 Fe 2.33
Sr (0.0000, 0.4923, 0.3904)  6 Fe 3.22-3.28

Properties
DOS(E_F) = 1.069 states/eV per atom
Calculated volume = 119.9 Å³/cell
Final energy = -4.627 eV/atom
Space group = No. 38


# 6
## Ba2SrFe (GGA-PBE)

Data for crystalline Ba2SrFe at its relaxed geometry.

Unit cell a=11.7153 b=11.7153 c=11.7153 alpha=21.47 beta=21.47 gamma=21.47
With the nearest neighbours (Å) after each atom.
Atoms (fractional coordinates):
Sr (0.7500, 0.7500, 0.7500)  6 Sr 4.36, 6 Ba 4.52
Ba (0.9738, 0.9738, 0.9738)  3 Fe 3.19
Ba (0.5262, 0.5262, 0.5262)  3 Fe 3.19
Fe (0.2500, 0.2500, 0.2500)  6 Ba 3.19

Properties
DOS(E_F) = 2.270 states/eV per atom
Calculated volume = 188.7 Å³/cell
Final energy = -2.992 eV/atom
Space group = No. 166


# 7
## BaSrFe2 (GGA-PBE)

Data for crystalline BaSrFe2 at its relaxed geometry.

Unit cell a=3.4999 b=3.5022 c=9.1058 alpha=90.00 beta=90.00 gamma=90.00
With the nearest neighbours (Å) after each atom.
Atoms (fractional coordinates):
Fe (0.0000, 0.0000, 0.0904)  4 Fe 2.57
Fe (0.5000, 0.5000, 0.1672)  4 Fe 2.57
Sr (0.0000, 0.0000, 0.4117)  1 Fe 2.93
Ba (0.5000, 0.5000, 0.8307)  5 Fe 3.06-3.42

Properties
DOS(E_F) = 1.138 states/eV per atom
Calculated volume = 111.6 Å³/cell
Final energy = -4.613 eV/atom
Space group = No. 99


# 8
## BaSrFe3 (GGA-PBE)

Data for crystalline BaSrFe3 at its relaxed geometry.

Unit cell a=5.3307 b=5.3307 c=5.3307 alpha=90.00 beta=90.00 gamma=90.00
With the nearest neighbours (Å) after each atom.
Atoms (fractional coordinates):
Fe (0.5000, 0.0000, 0.0000)  2 Ba 2.67
Fe (0.0000, 0.5000, 0.0000)  2 Ba 2.67
Fe (0.0000, 0.0000, 0.5000)  2 Ba 2.67
Ba (0.0000, 0.0000, 0.0000)  6 Fe 2.67
Sr (0.5000, 0.5000, 0.5000)  12 Fe 3.77

Properties
DOS(E_F) = 1.642 states/eV per atom
Calculated volume = 151.5 Å³/cell
Final energy = -4.109 eV/atom
Space group = No. 221


# 9
## Ba2SrFe (GGA-PBE)

Data for crystalline Ba2SrFe at its relaxed geometry.

Unit cell a=7.6727 b=7.6727 c=6.2250 alpha=66.06 beta=66.06 gamma=30.93
With the nearest neighbours (Å) after each atom.
Atoms (fractional coordinates):
Sr (0.2500, 0.2500, 0.2500)  4 Fe 3.72, 4 Ba 3.96, 2 Sr 4.09
Ba (0.0671, 0.0671, 0.9328)  2 Fe 3.19
Ba (0.4329, 0.4329, 0.5672)  2 Fe 3.19
Fe (0.7500, 0.7500, 0.7500)  4 Ba 3.19

Properties
DOS(E_F) = 1.534 states/eV per atom
Calculated volume = 170.9 Å³/cell
Final energy = -3.010 eV/atom
Space group = No. 71


# 10
## Ba2SrFe (GGA-PBE)

Data for crystalline Ba2SrFe at its relaxed geometry.

Unit cell a=4.0516 b=4.0565 c=11.3466 alpha=68.99 beta=90.00 gamma=90.00
With the nearest neighbours (Å) after each atom.
Atoms (fractional coordinates):
Ba (0.0000, 0.0093, 0.9909)  4 Ba 4.05-4.06, 4 Sr 4.42
Ba (0.5000, 0.1728, 0.3272)  4 Fe 3.45, 1 Sr 3.67
Sr (0.5000, 0.8262, 0.6735)  4 Fe 3.36, 1 Ba 3.67
Fe (0.0000, 0.4916, 0.5084)  4 Sr 3.36, 4 Ba 3.45

Properties
DOS(E_F) = 1.550 states/eV per atom
Calculated volume = 174.1 Å³/cell
Final energy = -3.060 eV/atom
Space group = No. 6


# 11
## BaSrFe2 (GGA-PBE)

Data for crystalline BaSrFe2 at its relaxed geometry.

Unit cell a=6.0257 b=6.0257 c=7.8494 alpha=52.04 beta=52.04 gamma=39.03
With the nearest neighbours (Å) after each atom.
Atoms (fractional coordinates):
Fe (0.5001, 0.5001, 0.6770)  2 Fe 2.32
Fe (0.9999, 0.9999, 0.8230)  2 Fe 2.32
Sr (0.7500, 0.7500, 0.7500)  6 Fe 3.21-3.24
Ba (0.2500, 0.2500, 0.2500)  6 Fe 3.31-3.41

Properties
DOS(E_F) = 0.934 states/eV per atom
Calculated volume = 136.0 Å³/cell
Final energy = -4.573 eV/atom
Space group = No. 12


# 12
## Ba2SrFe (GGA-PBE)

Data for crystalline Ba2SrFe at its relaxed geometry.

Unit cell a=8.4261 b=8.4261 c=8.4264 alpha=60.00 beta=60.00 gamma=90.00
With the nearest neighbours (Å) after each atom.
Atoms (fractional coordinates):
Fe (0.2500, 0.7500, 0.5000)  4 Ba 2.58
Fe (0.5000, 0.5000, 0.0000)  4 Ba 2.58
Ba (0.3735, 0.6250, 0.2500)  2 Fe 2.58
Ba (0.8750, 0.6265, 0.7500)  2 Fe 2.58
Ba (0.3750, 0.6235, 0.7500)  2 Fe 2.58
Ba (0.3765, 0.1250, 0.2500)  2 Fe 2.58
Sr (0.7500, 0.2500, 0.5000)  12 Ba 4.93-4.95, 4 Fe 5.16, 4 Sr 5.16
Sr (0.0000, 0.0000, 0.0000)  12 Ba 4.93-4.95, 4 Fe 5.16, 4 Sr 5.16

Properties
DOS(E_F) = 0.899 states/eV per atom
Calculated volume = 423.1 Å³/cell
Final energy = -2.709 eV/atom
Space group = No. 122


# 13
## BaSrFe2 (GGA-PBE)

Data for crystalline BaSrFe2 at its relaxed geometry.

Unit cell a=8.5540 b=5.3888 c=3.8589 alpha=90.04 beta=63.12 gamma=129.18
With the nearest neighbours (Å) after each atom.
Atoms (fractional coordinates):
Ba (0.5000, 0.5000, 0.0000)  8 Fe 3.31-3.32
Fe (0.5000, 0.0000, 0.5000)  4 Sr 3.31-3.32, 4 Ba 3.31-3.32
Fe (0.0000, 0.0000, 0.0000)  4 Ba 3.31-3.32, 4 Sr 3.31-3.32
Sr (0.0000, 0.5000, 0.5000)  8 Fe 3.31-3.32

Properties
DOS(E_F) = 2.081 states/eV per atom
Calculated volume = 112.1 Å³/cell
Final energy = -4.262 eV/atom
Space group = No. 65


# 14
## Ba2SrFe (GGA-PBE)

Data for crystalline Ba2SrFe at its relaxed geometry.

Unit cell a=6.7026 b=6.7026 c=6.7026 alpha=131.06 beta=131.06 gamma=71.71
With the nearest neighbours (Å) after each atom.
Atoms (fractional coordinates):
Fe (0.2500, 0.7500, 0.5000)  8 Ba 3.88, 4 Sr 3.93
Ba (0.0000, 0.0000, 0.0000)  4 Fe 3.88, 4 Sr 3.88, 4 Ba 3.93
Ba (0.5000, 0.5000, 0.0000)  4 Sr 3.88, 4 Fe 3.88, 4 Ba 3.93
Sr (0.7500, 0.2500, 0.5000)  8 Ba 3.88, 4 Fe 3.93

Properties
DOS(E_F) = 2.153 states/eV per atom
Calculated volume = 167.5 Å³/cell
Final energy = -2.841 eV/atom
Space group = No. 139


# 15
## BaSr4Fe (GGA-PBE)

Data for crystalline BaSr4Fe at its relaxed geometry.

Unit cell a=7.6256 b=7.6256 c=7.6256 alpha=60.00 beta=60.00 gamma=60.00
With the nearest neighbours (Å) after each atom.
Atoms (fractional coordinates):
Sr (0.8767, 0.3744, 0.3744)  6 Sr 3.80-3.83
Sr (0.3744, 0.3744, 0.8767)  6 Sr 3.80-3.83
Sr (0.3744, 0.3744, 0.3744)  6 Sr 3.80-3.83
Sr (0.3744, 0.8767, 0.3744)  6 Sr 3.80-3.83
Fe (0.0000, 0.0000, 0.0000)  12 Sr 4.47, 4 Ba 4.67
Ba (0.7500, 0.7500, 0.7500)  12 Sr 4.47, 4 Fe 4.67

Properties
DOS(E_F) = 2.048 states/eV per atom
Calculated volume = 313.5 Å³/cell
Final energy = -2.122 eV/atom
Space group = No. 216


# 16
## BaSrFe2 (GGA-PBE)

Data for crystalline BaSrFe2 at its relaxed geometry.

Unit cell a=8.4254 b=8.4254 c=6.7755 alpha=51.56 beta=51.56 gamma=90.00
With the nearest neighbours (Å) after each atom.
Atoms (fractional coordinates):
Ba (0.0000, 0.0000, 0.0000)  4 Fe 3.11, 2 Sr 3.23
Ba (0.7500, 0.2500, 0.5000)  4 Fe 3.11, 2 Sr 3.23
Sr (0.2500, 0.7500, 0.5000)  4 Fe 3.07, 2 Ba 3.23
Sr (0.5000, 0.5000, 0.0000)  4 Fe 3.07, 2 Ba 3.23
Fe (0.8750, 0.8714, 0.7500)  2 Sr 3.07, 2 Ba 3.11, 2 Fe 3.23
Fe (0.1286, 0.6250, 0.2500)  2 Sr 3.07, 2 Ba 3.11, 2 Fe 3.23
Fe (0.3750, 0.3786, 0.7500)  2 Sr 3.07, 2 Ba 3.11, 2 Fe 3.23
Fe (0.6214, 0.1250, 0.2500)  2 Sr 3.07, 2 Ba 3.11, 2 Fe 3.23

Properties
DOS(E_F) = 1.181 states/eV per atom
Calculated volume = 229.1 Å³/cell
Final energy = -4.020 eV/atom
Space group = No. 122


# 17
## Ba2SrFe (GGA-PBE)

Data for crystalline Ba2SrFe at its relaxed geometry.

Unit cell a=5.9118 b=5.9118 c=5.9118 alpha=60.00 beta=60.00 gamma=60.00
With the nearest neighbours (Å) after each atom.
Atoms (fractional coordinates):
Ba (0.2500, 0.2500, 0.2500)  4 Sr 3.62, 4 Fe 3.62
Ba (0.7500, 0.7500, 0.7500)  4 Fe 3.62, 4 Sr 3.62
Fe (0.0000, 0.0000, 0.0000)  8 Ba 3.62
Sr (0.5000, 0.5000, 0.5000)  8 Ba 3.62

Properties
DOS(E_F) = 1.857 states/eV per atom
Calculated volume = 146.1 Å³/cell
Final energy = -2.600 eV/atom
Space group = No. 225


# 18
## Ba2SrFeTc (GGA-PBE)

Data for crystalline Ba2SrFeTc at its relaxed geometry.

Unit cell a=6.2739 b=4.5173 c=6.2739 alpha=90.00 beta=90.00 gamma=90.00
With the nearest neighbours (Å) after each atom.
Atoms (fractional coordinates):
Fe (0.0000, 0.0000, 0.0000)  2 Tc 2.26
Tc (0.0000, 0.5000, 0.0000)  2 Fe 2.26
Ba (0.5000, 0.0000, 0.0000)  2 Fe 3.14
Ba (0.0000, 0.0000, 0.5000)  2 Fe 3.14
Sr (0.5000, 0.5000, 0.5000)  8 Ba 3.87

Properties
DOS(E_F) = 1.477 states/eV per atom
Calculated volume = 177.8 Å³/cell
Final energy = -4.132 eV/atom
Space group = No. 123


# 19
## Ba2SrFeTe (GGA-PBE)

Data for crystalline Ba2SrFeTe at its relaxed geometry.

Unit cell a=6.5864 b=4.5329 c=6.5864 alpha=90.00 beta=90.00 gamma=90.00
With the nearest neighbours (Å) after each atom.
Atoms (fractional coordinates):
Ba (0.5000, 0.0000, 0.0000)  2 Sr 3.29
Ba (0.0000, 0.0000, 0.5000)  2 Sr 3.29
Sr (0.0000, 0.0000, 0.0000)  2 Fe 2.27
Fe (0.0000, 0.5000, 0.0000)  2 Sr 2.27
Te (0.5000, 0.5000, 0.5000)  8 Ba 4.00

Properties
E_form (uncorrected) = 0.659 eV/atom
DOS(E_F) = 0.591 states/eV per atom
Calculated volume = 196.6 Å³/cell
Final energy = -2.767 eV/atom
Space group = No. 123


# 20
## BaSrYFe2 (GGA-PBE)

Data for crystalline BaSrYFe2 at its relaxed geometry.

Unit cell a=5.1615 b=5.6491 c=5.1615 alpha=90.00 beta=90.00 gamma=90.00
With the nearest neighbours (Å) after each atom.
Atoms (fractional coordinates):
Y (0.0000, 0.5000, 0.0000)  2 Sr 2.82
Fe (0.5000, 0.0000, 0.0000)  2 Sr 2.58
Fe (0.0000, 0.0000, 0.5000)  2 Sr 2.58
Ba (0.5000, 0.5000, 0.5000)  4 Y 3.65, 8 Fe 3.83
Sr (0.0000, 0.0000, 0.0000)  4 Fe 2.58, 2 Y 2.82

Properties
DOS(E_F) = 2.666 states/eV per atom
Calculated volume = 150.5 Å³/cell
Final energy = -3.606 eV/atom
Space group = No. 123